1.
A relaxed structure of Ac3SiGe2Pt6. Source: Alexandria via LeMat-Bulk, functional GGA-PBE.

Output
The value obtained for the formation energy from raw total energies is -0.899 eV/atom. The size of the total moment comes out at 0.0 μB per cell. The value obtained for the total DFT energy (no corrections) is -74.01 eV per cell.

a = 5.8552 Å, b = 5.8552 Å, c = 9.3938 Å
α = 90.00°, β = 90.00°, γ = 120.00°
Fractional coordinates of all 12 atoms:
Ac  0.0000  0.0000  0.0000
Ac  0.3333  0.6667  0.6092
Ac  0.6667  0.3333  0.3908
Si  0.0000  0.0000  0.5000
Ge  0.3333  0.6667  0.0901
Ge  0.6667  0.3333  0.9099
Pt  0.1664  0.3329  0.2950
Pt  0.1664  0.8336  0.2950
Pt  0.3329  0.1664  0.7050
Pt  0.6671  0.8336  0.2950
Pt  0.8336  0.1664  0.7050
Pt  0.8336  0.6671  0.7050

***

2.
A relaxed structure of Zn2Ge2Pb. Source: Alexandria via LeMat-Bulk, functional GGA-PBE.

Output
The distance to the lowest polymorph of the same formula comes out at 0.0 meV/atom. The size of the total moment comes out at 0.0 μB per cell. The value obtained for the total DFT energy (no corrections) is -14.90 eV per cell.

a = 6.1940 Å, b = 6.1940 Å, c = 6.1940 Å
α = 138.15°, β = 138.15°, γ = 60.68°
Fractional coordinates of all 5 atoms:
Zn  0.2500  0.7500  0.5000
Zn  0.7500  0.2500  0.5000
Ge  0.1174  0.1174  0.0000
Ge  0.8826  0.8826  0.0000
Pb  0.5000  0.5000  0.0000